No. 1
A plane-wave DFT calculation with GGA-PBEsol was carried out for crystalline NaTmGeO4 at its relaxed geometry.

a = 11.2860 Å, b = 6.3323 Å, c = 5.2394 Å
α = 90.00°, β = 90.00°, γ = 90.00°
Closest atoms and distances in Å follow each position.
Space group Pnma (No. 62)
Symmetry-distinct sites (fractional):
Na 0.0000 0.0000 0.0000 [4 per cell]  6 O 2.34-2.52
Tm 0.2232 0.2500 0.4923 [4 per cell]  6 O 2.17-2.30
Ge 0.0985 0.7500 0.5509 [4 per cell]  4 O 1.73-1.80
O 0.0465 0.2500 0.3304 [4 per cell]  1 Ge 1.75
O 0.1123 0.7500 0.2215 [4 per cell]  1 Ge 1.73
O 0.1764 0.5396 0.7079 [8 per cell]  1 Ge 1.80

Results
Raw formation energy: -2.53 eV/atom
Electronic total energy: -7.13 eV/atom

=====

No. 2
A plane-wave DFT calculation with GGA-PBEsol was carried out for crystalline TcSb2As at its relaxed geometry.

a = 4.8251 Å, b = 4.8251 Å, c = 3.3257 Å
α = 90.00°, β = 90.00°, γ = 90.00°
Closest atoms and distances in Å follow each position.
Space group P4/mmm (No. 123)
Symmetry-distinct sites (fractional):
Tc 0.0000 0.0000 0.0000 [1 per cell]  8 Sb 2.93
Sb 0.0000 0.5000 0.5000 [2 per cell]  4 As 2.93, 4 Tc 2.93
As 0.5000 0.5000 0.0000 [1 per cell]  8 Sb 2.93

Results
Polymorph energy (0 for the lowest one): 494 meV/atom
Raw formation energy: 0.52 eV/atom
Electronic total energy: -5.86 eV/atom

=====

No. 3
A plane-wave DFT calculation with GGA-PBEsol was carried out for crystalline Sr2RhCl at its relaxed geometry.

a = 4.1294 Å, b = 4.1294 Å, c = 22.6820 Å
α = 90.00°, β = 90.00°, γ = 120.00°
Closest atoms and distances in Å follow each position.
Space group R3m (No. 160, hexagonal axes)
Symmetry-distinct sites (fractional):
Sr 0.0000 0.0000 0.0000 [3 per cell]  3 Rh 2.90, 3 Cl 3.22
Sr 0.0000 0.0000 0.1872 [3 per cell]  3 Rh 2.91, 3 Cl 3.17
Rh 0.0000 0.0000 0.5939 [3 per cell]  6 Sr 2.90-2.91
Cl 0.0000 0.0000 0.7618 [3 per cell]  6 Sr 3.17-3.22

Results
Polymorph energy (0 for the lowest one): 67 meV/atom
Raw formation energy: -0.88 eV/atom
Electronic total energy: -4.34 eV/atom

=====

> What is the electronic total energy in the third record?

-4.34 eV/atom